# 1
Density functional theory data (GGA-PBE) for a relaxed CsCd2NiGe crystal.

Values from the calculation:
SG: P4/mmm
Energy of formation in eV per atom: 0.0358
Fermi-level density of states in states/eV per cell: 2.638
Calculated total energy in eV per atom: -2.58

Unit cell a=5.3173 b=5.3173 c=4.6670 alpha=90.00 beta=90.00 gamma=90.00
Positions (direct):
Cs  0.0000  0.0000  0.0000
Cd  0.0000  0.5000  0.5000
Cd  0.5000  0.0000  0.5000
Ni  0.5000  0.5000  0.5000
Ge  0.5000  0.5000  0.0000

=====

# 2
Density functional theory data (GGA-PBE) for a relaxed Nd4Ho5In2 crystal.

Values from the calculation:
SG: R-3m
Energy of formation in eV per atom: 0.1731
Fermi-level density of states in states/eV per cell: 13.707
Calculated total energy in eV per atom: -4.14

Unit cell a=16.0373 b=16.0373 c=16.0373 alpha=18.85 beta=18.85 gamma=18.85
Positions (direct):
Nd  0.0730  0.0730  0.0730
Nd  0.2256  0.2256  0.2256
Nd  0.7744  0.7744  0.7744
Nd  0.9270  0.9270  0.9270
Ho  0.0000  0.0000  0.0000
Ho  0.1485  0.1485  0.1485
Ho  0.3029  0.3029  0.3029
Ho  0.6971  0.6971  0.6971
Ho  0.8515  0.8515  0.8515
In  0.3766  0.3766  0.3766
In  0.6234  0.6234  0.6234

=====

# 3
Density functional theory data (GGA-PBE) for a relaxed Ho2GaSi4Ir3 crystal.

Values from the calculation:
SG: P-4m2
Fermi-level density of states in states/eV per cell: 5.284
Calculated total energy in eV per atom: -6.91
Raw formation energy in meV per atom: -867.9

Unit cell a=4.0949 b=4.0949 c=10.1612 alpha=90.00 beta=90.00 gamma=90.00
Positions (direct):
Ho  0.0000  0.5000  0.2429
Ho  0.5000  0.0000  0.7571
Ga  0.0000  0.0000  0.5000
Si  0.0000  0.0000  0.0000
Si  0.0000  0.5000  0.6437
Si  0.5000  0.0000  0.3563
Si  0.5000  0.5000  0.0000
Ir  0.0000  0.5000  0.8748
Ir  0.5000  0.0000  0.1252
Ir  0.5000  0.5000  0.5000

=====

# 4
Density functional theory data (GGA-PBE) for a relaxed Li4DyNp3Se8 crystal.

Values from the calculation:
SG: R-3m
Fermi-level density of states in states/eV per cell: 29.728
Calculated total energy in eV per atom: -6.25
Raw formation energy in meV per atom: -1312.3

Unit cell a=8.0228 b=8.0228 c=8.0228 alpha=61.41 beta=61.41 gamma=61.41
Positions (direct):
Li  0.0000  0.0000  0.0000
Li  0.0000  0.5000  0.5000
Li  0.5000  0.0000  0.5000
Li  0.5000  0.5000  0.0000
Dy  0.5000  0.5000  0.5000
Np  0.0000  0.0000  0.5000
Np  0.0000  0.5000  0.0000
Np  0.5000  0.0000  0.0000
Se  0.2492  0.2492  0.7457
Se  0.2492  0.7457  0.2492
Se  0.2514  0.2514  0.2514
Se  0.2543  0.7508  0.7508
Se  0.7457  0.2492  0.2492
Se  0.7486  0.7486  0.7486
Se  0.7508  0.2543  0.7508
Se  0.7508  0.7508  0.2543

=====

# 5
Density functional theory data (GGA-PBE) for a relaxed CdTc2Se crystal.

Values from the calculation:
SG: Imm2
E above lowest polymorph in meV/atom: 349.3
Fermi-level density of states in states/eV per cell: 4.788
Calculated total energy in eV per atom: -5.83
Raw formation energy in meV per atom: 449.5

Unit cell a=5.6289 b=5.6289 c=5.6289 alpha=149.05 beta=131.22 gamma=58.90
Positions (direct):
Cd  0.0000  0.0000  0.0000
Tc  0.2908  0.7908  0.5000
Tc  0.5111  0.5111  0.0000
Se  0.7243  0.2243  0.5000

=====

# 6
Density functional theory data (GGA-PBE) for a relaxed Mg2CdIr crystal.

Values from the calculation:
SG: Cmm2
Energy of formation in eV per atom: 0.0743
Fermi-level density of states in states/eV per cell: 1.828
Calculated total energy in eV per atom: -3.17

Unit cell a=2.9344 b=2.9344 c=9.7006 alpha=90.00 beta=90.00 gamma=115.79
Positions (direct):
Mg  0.0000  0.0000  0.0000
Mg  0.5000  0.5000  0.2765
Cd  0.0000  0.0000  0.5458
Ir  0.5000  0.5000  0.7871

=====

# 7
Density functional theory data (GGA-PBE) for a relaxed HoTmScAg crystal.

Values from the calculation:
SG: F-43m
Energy of formation in eV per atom: 0.0281
E above lowest polymorph in meV/atom: 147.4
Fermi-level density of states in states/eV per cell: 3.800
Calculated total energy in eV per atom: -4.53

Unit cell a=5.2257 b=5.2257 c=5.2257 alpha=60.00 beta=60.00 gamma=60.00
Positions (direct):
Ho  0.0000  0.0000  0.0000
Tm  0.5000  0.5000  0.5000
Sc  0.2500  0.2500  0.2500
Ag  0.7500  0.7500  0.7500

=====

# 8
Density functional theory data (GGA-PBE) for a relaxed TmNpSe2O crystal.

Values from the calculation:
SG: P4/nmm
Fermi-level density of states in states/eV per cell: 12.389
Calculated total energy in eV per atom: -7.96
Raw formation energy in meV per atom: -2088.1

Unit cell a=3.9491 b=3.9491 c=14.1471 alpha=90.00 beta=90.00 gamma=90.00
Positions (direct):
Tm  0.2500  0.2500  0.1182
Tm  0.7500  0.7500  0.8818
Np  0.2500  0.2500  0.5855
Np  0.7500  0.7500  0.4145
Se  0.2500  0.2500  0.3093
Se  0.2500  0.2500  0.9073
Se  0.7500  0.7500  0.0927
Se  0.7500  0.7500  0.6907
O  0.2500  0.7500  0.5000
O  0.7500  0.2500  0.5000

=====

# 9
Density functional theory data (GGA-PBE) for a relaxed Y2AgCl crystal.

Values from the calculation:
SG: F-43m
E above lowest polymorph in meV/atom: 939.2
Fermi-level density of states in states/eV per cell: 4.988
Calculated total energy in eV per atom: -4.23
Raw formation energy in meV per atom: 174.7

Unit cell a=5.3251 b=5.3251 c=5.3251 alpha=60.00 beta=60.00 gamma=60.00
Positions (direct):
Y  0.0000  0.0000  0.0000
Y  0.2500  0.2500  0.2500
Ag  0.7500  0.7500  0.7500
Cl  0.5000  0.5000  0.5000

=====

# 10
Density functional theory data (GGA-PBE) for a relaxed LiEr2Pb4 crystal.

Values from the calculation:
SG: C2/m
Energy of formation in eV per atom: -0.1511
Fermi-level density of states in states/eV per cell: 4.094
Calculated total energy in eV per atom: -3.85

Unit cell a=9.5804 b=9.5804 c=6.3578 alpha=108.98 beta=108.98 gamma=21.41
Positions (direct):
Li  0.0000  0.0000  0.0000
Er  0.2429  0.2429  0.2436
Er  0.7571  0.7571  0.7564
Pb  0.1054  0.1054  0.7573
Pb  0.3961  0.3961  0.6869
Pb  0.6039  0.6039  0.3131
Pb  0.8946  0.8946  0.2427

=====

# 11
Density functional theory data (GGA-PBE) for a relaxed Cu3PdRh crystal.

Values from the calculation:
SG: Pm-3m
Energy of formation in eV per atom: 1.1190
E above lowest polymorph in meV/atom: 1132.3
Fermi-level density of states in states/eV per cell: 6.482
Calculated total energy in eV per atom: -3.85

Unit cell a=4.5608 b=4.5608 c=4.5608 alpha=90.00 beta=90.00 gamma=90.00
Positions (direct):
Cu  0.0000  0.0000  0.5000
Cu  0.0000  0.5000  0.0000
Cu  0.5000  0.0000  0.0000
Pd  0.5000  0.5000  0.5000
Rh  0.0000  0.0000  0.0000

=====

# 12
Density functional theory data (GGA-PBE) for a relaxed Ho2Bi2O7 crystal.

Values from the calculation:
SG: Cm
Calculated total energy in eV per atom: -6.83
Raw formation energy in meV per atom: -2136.5

Unit cell a=5.5405 b=5.5405 c=5.3785 alpha=93.43 beta=93.43 gamma=95.74
Positions (direct):
Ho  0.2321  0.7679  0.0000
Ho  0.7679  0.2321  0.0000
Bi  0.2276  0.2276  0.5018
Bi  0.7360  0.7360  0.5341
O  0.0183  0.0183  0.7517
O  0.0987  0.4867  0.2744
O  0.4446  0.4446  0.7799
O  0.4867  0.0987  0.2744
O  0.5312  0.9377  0.7880
O  0.9377  0.5312  0.7880
O  0.9809  0.9809  0.2490

=====

# 13
Density functional theory data (GGA-PBE) for a relaxed Tb4SmEr2Mg crystal.

Values from the calculation:
SG: P4/mmm
Energy of formation in eV per atom: 0.0871
Fermi-level density of states in states/eV per cell: 14.142
Calculated total energy in eV per atom: -4.16

Unit cell a=5.7368 b=5.7368 c=7.5006 alpha=90.00 beta=90.00 gamma=90.00
Positions (direct):
Tb  0.0000  0.5000  0.2457
Tb  0.0000  0.5000  0.7543
Tb  0.5000  0.0000  0.2457
Tb  0.5000  0.0000  0.7543
Sm  0.0000  0.0000  0.0000
Er  0.0000  0.0000  0.5000
Er  0.5000  0.5000  0.5000
Mg  0.5000  0.5000  0.0000

=====

# 14
Density functional theory data (GGA-PBE) for a relaxed ZrAlTe2I crystal.

Values from the calculation:
SG: P4/mmm
E above lowest polymorph in meV/atom: 457.5
Fermi-level density of states in states/eV per cell: 5.358
Calculated total energy in eV per atom: -3.72
Raw formation energy in meV per atom: 300.3

Unit cell a=5.3413 b=5.3413 c=5.2810 alpha=90.00 beta=90.00 gamma=90.00
Positions (direct):
Zr  0.0000  0.0000  0.0000
Al  0.5000  0.5000  0.5000
Te  0.0000  0.5000  0.5000
Te  0.5000  0.0000  0.5000
I  0.5000  0.5000  0.0000

=====

# 15
Density functional theory data (GGA-PBE) for a relaxed La2TbTh3 crystal.

Values from the calculation:
SG: Cmcm
Energy of formation in eV per atom: 0.1915
Fermi-level density of states in states/eV per cell: 17.211
Calculated total energy in eV per atom: -5.93

Unit cell a=7.7524 b=7.7524 c=6.7987 alpha=90.00 beta=90.00 gamma=96.11
Positions (direct):
La  0.0630  0.6025  0.7500
La  0.3975  0.9370  0.7500
La  0.6025  0.0630  0.2500
La  0.9370  0.3975  0.2500
Tb  0.2715  0.7285  0.2500
Tb  0.7285  0.2715  0.7500
Th  0.0000  0.0000  0.0000
Th  0.0000  0.0000  0.5000
Th  0.3337  0.3337  0.0000
Th  0.3337  0.3337  0.5000
Th  0.6663  0.6663  0.0000
Th  0.6663  0.6663  0.5000

=====

# 16
Density functional theory data (GGA-PBE) for a relaxed ErPu2Ru crystal.

Values from the calculation:
SG: P4/mmm
Energy of formation in eV per atom: 0.0044
E above lowest polymorph in meV/atom: 0.0
Fermi-level density of states in states/eV per cell: 11.152
Calculated total energy in eV per atom: -10.62

Unit cell a=3.3377 b=3.3377 c=8.6829 alpha=90.00 beta=90.00 gamma=90.00
Positions (direct):
Er  0.0000  0.0000  0.0000
Pu  0.5000  0.5000  0.3018
Pu  0.5000  0.5000  0.6982
Ru  0.0000  0.0000  0.5000

=====

# 17
Density functional theory data (GGA-PBE) for a relaxed KTc2Cl crystal.

Values from the calculation:
SG: I-42d
E above lowest polymorph in meV/atom: 886.3
Fermi-level density of states in states/eV per cell: 4.846
Calculated total energy in eV per atom: -4.98
Raw formation energy in meV per atom: 937.2

Unit cell a=9.3685 b=9.3685 c=9.3685 alpha=151.51 beta=151.51 gamma=40.73
Positions (direct):
K  0.0000  0.0000  0.0000
K  0.7500  0.2500  0.5000
Tc  0.3174  0.1250  0.6924
Tc  0.3750  0.6826  0.8076
Tc  0.4326  0.6250  0.3076
Tc  0.8750  0.5674  0.1924
Cl  0.2500  0.7500  0.5000
Cl  0.5000  0.5000  0.0000

=====

# 18
Density functional theory data (GGA-PBE) for a relaxed Zr2TlOs crystal.

Values from the calculation:
SG: Amm2
Energy of formation in eV per atom: -0.1035
E above lowest polymorph in meV/atom: 153.8
Fermi-level density of states in states/eV per cell: 2.770
Calculated total energy in eV per atom: -7.78

Unit cell a=4.4887 b=5.7781 c=5.7781 alpha=34.06 beta=90.00 gamma=90.00
Positions (direct):
Zr  0.0000  0.0000  0.0000
Zr  0.5000  0.3170  0.3170
Tl  0.0000  0.7261  0.7261
Os  0.5000  0.5499  0.5499

=====

# 19
Density functional theory data (GGA-PBE) for a relaxed Sc5PaTc6 crystal.

Values from the calculation:
SG: Cmmm
Energy of formation in eV per atom: -0.2565
Fermi-level density of states in states/eV per cell: 15.156
Calculated total energy in eV per atom: -8.87

Unit cell a=7.2771 b=7.2771 c=6.5049 alpha=90.00 beta=90.00 gamma=142.58
Positions (direct):
Sc  0.0000  0.0000  0.0000
Sc  0.3239  0.6761  0.5000
Sc  0.3309  0.6691  0.0000
Sc  0.6691  0.3309  0.0000
Sc  0.6761  0.3239  0.5000
Pa  0.0000  0.0000  0.5000
Tc  0.1566  0.8434  0.2571
Tc  0.1566  0.8434  0.7429
Tc  0.5000  0.5000  0.2690
Tc  0.5000  0.5000  0.7310
Tc  0.8434  0.1566  0.2571
Tc  0.8434  0.1566  0.7429

=====

# 20
Density functional theory data (GGA-PBE) for a relaxed Nd4CdCu crystal.

Values from the calculation:
SG: P4/mmm
Energy of formation in eV per atom: -0.1272
E above lowest polymorph in meV/atom: 0.0
Fermi-level density of states in states/eV per cell: 8.015
Calculated total energy in eV per atom: -4.14

Unit cell a=3.6862 b=3.6862 c=12.9115 alpha=90.00 beta=90.00 gamma=90.00
Positions (direct):
Nd  0.0000  0.0000  0.1326
Nd  0.0000  0.0000  0.8674
Nd  0.5000  0.5000  0.3385
Nd  0.5000  0.5000  0.6615
Cd  0.0000  0.0000  0.5000
Cu  0.5000  0.5000  0.0000

=====

no.,total moment (μB/f.u.)
1,0.00
2,0.00
3,0.00
4,12.00
5,0.00
6,0.00
7,0.00
8,3.71
9,1.96
10,0.00
11,0.86
12,0.00
13,0.01
14,1.43
15,0.00
16,10.92
17,0.00
18,0.00
19,0.00
20,0.08